Here is a geometry-optimized Dy4Ag5Sb7 structure from the Alexandria database. Energies are from PBE.

Unit cell a=6.042 b=6.042 c=21.204 alpha=90.00 beta=90.00 gamma=90.00
Space group I-42m (No. 121)
Unique sites:
1 Dy 0.241 0.241 0.118 x8
2 Ag 0.000 0.000 0.247 x4
3 Ag 0.000 0.000 0.500 x2
4 Ag 0.000 0.500 0.250 x4
5 Sb 0.000 0.000 0.000 x2
6 Sb 0.000 0.500 0.000 x4
7 Sb 0.242 0.242 0.344 x8

Values from the calculation:
**Magnetic moment**: 0.000 μB/f.u.
**Theoretical density**: 8.76 g/cm³
**DOS at the Fermi energy**: 5.986 states/eV per cell
**Uncorrected formation energy**: -0.58 eV per atom